a) {
  "formula": "HgNF",
  "functional": "PBE",
  "state": "optimized geometry",
  "cell": [[-3.1519, -1.8295, 0.7087], [1.5501, -0.2362, -3.4593], [5.6388, -7.8287, 4.8340]],
  "species": ["Hg", "Hg", "N", "N", "F", "F"],
  "frac_coords": [[0.2585, 0.5355, 0.5630], [0.1523, 0.3130, 0.7865], [0.4253, 0.8645, 0.2111], [0.3155, 0.6405, 0.1215], [0.8727, 0.7609, 0.4606], [0.8895, 0.7881, 0.8893]]
}


b) {
  "formula": "HgNF",
  "functional": "PBE",
  "state": "optimized geometry",
  "cell": [[-3.2535, 1.3553, 1.3399], [-5.4960, -4.9195, -8.3692], [-2.2808, -7.2050, 1.7496]],
  "species": ["F", "F", "F", "F", "N", "N", "N", "N", "Hg", "Hg", "Hg", "Hg"],
  "frac_coords": [[0.4214, 0.7427, 0.6497], [0.9214, 0.7573, 0.3503], [0.5786, 0.2573, 0.3503], [0.0786, 0.2427, 0.6497], [0.4957, 0.0154, 0.0602], [0.9957, 0.4846, 0.9398], [0.5043, 0.9846, 0.9398], [0.0043, 0.5154, 0.0602], [0.3441, 0.6109, 0.4626], [0.8441, 0.8891, 0.5374], [0.6559, 0.3891, 0.5374], [0.1559, 0.1109, 0.4626]]
}


Result of the stability comparison: a) is the least stable of them.


a) {
  "formula": "NaHgN2F",
  "functional": "PBE",
  "state": "optimized geometry",
  "cell": [[-1.0167, -2.1451, -3.4563], [3.8292, -1.7070, -0.0670], [-1.6560, -3.8272, 2.8624]],
  "species": ["Na", "N", "N", "Hg", "F"],
  "frac_coords": [[0.5000, 0.5000, 0.5000], [0.0000, 0.5000, 0.0000], [0.5000, 0.0000, 0.0000], [0.0000, 0.0000, 0.0000], [0.0000, 0.0000, 0.5000]]
}


b) {
  "formula": "NaHgN2F",
  "functional": "PBE",
  "state": "optimized geometry",
  "cell": [[-3.6973, 1.5637, 2.2986], [0.1863, -3.6768, 2.8009], [2.4468, 2.0564, 2.5368]],
  "species": ["Na", "N", "N", "Hg", "F"],
  "frac_coords": [[0.0000, 0.0000, 0.0000], [0.0000, 0.5000, 0.0000], [0.5000, 0.0000, 0.0000], [0.5000, 0.5000, 0.5000], [0.0000, 0.0000, 0.5000]]
}


Result of the stability comparison: b) is the least stable of them.


a) {
  "formula": "NbHgN2F",
  "functional": "PBE",
  "state": "optimized geometry",
  "cell": [[4.1646, 0.0000, 0.0000], [0.0000, 4.1646, 0.0000], [0.0000, 0.0000, 4.3118]],
  "species": ["Nb", "N", "N", "Hg", "F"],
  "frac_coords": [[0.5000, 0.5000, 0.5000], [0.0000, 0.5000, 0.0000], [0.5000, 0.0000, 0.0000], [0.0000, 0.0000, 0.0000], [0.0000, 0.0000, 0.5000]]
}


b) {
  "formula": "NbHgN2F",
  "functional": "PBE",
  "state": "optimized geometry",
  "cell": [[4.1342, 0.0000, 0.0000], [0.0000, 4.1342, 0.0000], [0.0000, 0.0000, 4.1625]],
  "species": ["Nb", "N", "N", "Hg", "F"],
  "frac_coords": [[0.0000, 0.0000, 0.0000], [0.0000, 0.5000, 0.0000], [0.5000, 0.0000, 0.0000], [0.5000, 0.5000, 0.5000], [0.0000, 0.0000, 0.5000]]
}


Result of the stability comparison: a) is the least stable of them.


a) {
  "formula": "NbHgNF2",
  "functional": "PBE",
  "state": "optimized geometry",
  "cell": [[-0.0273, -2.2010, -3.8317], [4.2034, -1.1948, 0.6564], [-1.3152, -3.5132, 2.0274]],
  "species": ["Nb", "N", "Hg", "F", "F"],
  "frac_coords": [[0.5000, 0.5000, 0.5000], [0.0000, 0.0000, 0.5000], [0.0000, 0.0000, 0.0000], [0.0000, 0.5000, 0.0000], [0.5000, 0.0000, 0.0000]]
}


b) {
  "formula": "NbHgNF2",
  "functional": "PBE",
  "state": "optimized geometry",
  "cell": [[-2.8656, 2.5809, 1.9078], [0.6028, -2.0792, 3.7183], [2.9707, 2.5856, 0.9643]],
  "species": ["Nb", "N", "Hg", "F", "F"],
  "frac_coords": [[0.0000, 0.0000, 0.0000], [0.0000, 0.0000, 0.5000], [0.5000, 0.5000, 0.5000], [0.0000, 0.5000, 0.0000], [0.5000, 0.0000, 0.0000]]
}


Result of the stability comparison: a) is the least stable of them.


a) {
  "formula": "HgOsNF2",
  "functional": "PBE",
  "state": "optimized geometry",
  "cell": [[-3.0240, 2.6890, 1.6769], [-2.8598, -3.3141, 0.1572], [1.1720, -0.8467, 3.4713]],
  "species": ["N", "Os", "Hg", "F", "F"],
  "frac_coords": [[0.0000, 0.0000, 0.5000], [0.0000, 0.0000, 0.0000], [0.5000, 0.5000, 0.5000], [0.0000, 0.5000, 0.0000], [0.5000, 0.0000, 0.0000]]
}


b) {
  "formula": "HgOsNF2",
  "functional": "PBE",
  "state": "optimized geometry",
  "cell": [[-0.1055, 3.9827, 1.8701], [-4.2415, 0.4054, -1.1025], [-1.1427, -1.7861, 3.7394]],
  "species": ["N", "Os", "Hg", "F", "F"],
  "frac_coords": [[0.0000, 0.0000, 0.5000], [0.5000, 0.5000, 0.5000], [0.0000, 0.0000, 0.0000], [0.0000, 0.5000, 0.0000], [0.5000, 0.0000, 0.0000]]
}


Result of the stability comparison: b) is the least stable of them.